This record from the Alexandria database describes a relaxed structure of DyYCo. The functional is GGA-PBE.

POSCAR file:
```
DyYCo
1.0
-1.7645 -0.1767 4.3468
-2.6992 -3.6172 1.2925
1.6239 -3.1629 3.0658
Y Dy Co
1 1 1
Direct
0.5000 0.5000 0.5000
0.0000 0.0000 0.0000
0.2500 0.2500 0.2500
```

Output
DOS(E_F) in states/eV/cell: 3.399
Volume in Å³/cell: 73.2
Mass density in g cm⁻³: 7.0
Offset from the most stable computed form in eV/atom: 0.089
Energy of formation in eV per atom: -0.04



This record from the Alexandria database describes a relaxed structure of DyY2Co2. The functional is GGA-PBE.

POSCAR file:
```
DyY2Co2
1.0
-1.9808 -1.3931 -3.0701
3.5338 -3.4782 -3.1919
-0.6097 -5.8333 0.5502
Co Y Dy
2 2 1
Direct
0.0008 0.1872 0.3111
0.9992 0.8128 0.6889
0.6942 0.8062 0.3055
0.3058 0.1938 0.6945
0.5000 0.5000 0.0000
```

Output
DOS(E_F) in states/eV/cell: 5.247
Volume in Å³/cell: 110.5
Mass density in g cm⁻³: 6.9
Offset from the most stable computed form in eV/atom: 0.017
Energy of formation in eV per atom: -0.15



This record from the Alexandria database describes a relaxed structure of DyY3Co. The functional is GGA-PBE.

POSCAR file:
```
DyY3Co
1.0
5.2933 0.0000 0.0000
0.0000 5.2933 0.0000
0.0000 0.0000 5.2933
Y Co Dy
3 1 1
Direct
0.0000 0.0000 0.5000
0.5000 0.0000 0.0000
0.0000 0.5000 0.0000
0.0000 0.0000 0.0000
0.5000 0.5000 0.5000
```

Output
DOS(E_F) in states/eV/cell: 7.945
Volume in Å³/cell: 148.3
Mass density in g cm⁻³: 5.5
Offset from the most stable computed form in eV/atom: 0.103
Energy of formation in eV per atom: 0.00